{
  "formula": "Li2Ni2RuO6",
  "functional": "PBE+U",
  "state": "relaxed",
  "final_energy_ev_per_atom": -5.558,
  "crystal_system": "monoclinic",
  "n_ef_per_ev_cell": 4.53,
  "lattice_angstrom": [[2.6260, -4.3981, 0.0000], [2.6260, 4.3981, 0.0000], [-1.8703, 0.0000, 4.8491]],
  "species": ["Li", "Li", "Ni", "Ni", "Ru", "O", "O", "O", "O", "O", "O"],
  "frac_coords": [[0.1742, 0.8258, 0.0000], [0.8258, 0.1742, 0.0000], [0.3383, 0.6617, 0.5000], [0.6617, 0.3383, 0.5000], [0.0000, 0.0000, 0.5000], [0.0691, 0.3939, 0.7229], [0.2276, 0.2276, 0.2740], [0.3939, 0.0691, 0.7229], [0.6061, 0.9309, 0.2771], [0.7724, 0.7724, 0.7260], [0.9309, 0.6061, 0.2771]]
}